Arrangement i

A plane-wave DFT calculation with PBE was carried out for crystalline Li3MgAl at its relaxed geometry.

Cell and atoms, written as POSCAR:
```
Li3MgAl
1.0
9.9974 -2.2478 0.0000
9.9974 2.2478 0.0000
-0.9854 0.0000 4.3336
Li Mg Al
6 2 2
Cartesian
0.2605 0.0000 1.1985
3.5763 0.0000 1.9530
5.7193 0.0000 0.1630
13.2900 0.0000 4.1707
15.4330 0.0000 2.3807
18.7488 0.0000 3.1351
7.1155 0.0000 2.7566
11.8938 0.0000 1.5770
1.5163 0.0000 3.7646
17.4930 0.0000 0.5691
```

Values from the calculation:
Theoretical density   1.2 g/cm3
Fermi-level density of states   2.004 states/eV/f.u.

---

Arrangement ii

A plane-wave DFT calculation with PBE was carried out for crystalline Li3MgAl at its relaxed geometry.

Cell and atoms, written as POSCAR:
```
Li3MgAl
1.0
4.5872 0.0000 0.0000
0.0000 5.8079 0.0000
-2.3051 0.0000 7.0233
Li Mg Al
6 2 2
Cartesian
-0.0038 0.0241 1.6473
-0.0038 2.8799 1.6473
-0.0082 1.4520 4.2313
2.2903 4.3559 2.7920
2.2859 2.9281 5.3760
2.2859 5.7838 5.3760
2.2793 1.4520 0.0442
0.0028 4.3559 6.9791
-0.0060 4.3559 4.1833
2.2881 1.4520 2.8400
```

Values from the calculation:
Theoretical density   1.3 g/cm3
Fermi-level density of states   1.792 states/eV/f.u.

---

The structure shown above that is most stable: arrangement ii.